A plane-wave DFT calculation with PBE was carried out for crystalline PuTlIrO6 at its relaxed geometry.

abc: 7.5040 7.5040 7.5040
angles: 122.15 117.25 90.57
Last column: nearest neighbours and their distance in Å.
Positions (direct):
Pu  0.0000  0.0000  0.0000  6 O 2.02-2.10
Pu  0.5000  0.0000  0.5000  6 O 2.02-2.10
Tl  0.3326  0.5826  0.7500  1 O 2.85
Tl  0.6674  0.4174  0.2500  1 O 2.85
Ir  0.0000  0.0000  0.5000  6 O 1.93-1.98
Ir  0.0000  0.5000  0.0000  6 O 1.93-1.98
O  0.0539  0.3233  0.1307  1 Ir 1.98, 1 Pu 2.02
O  0.0539  0.9232  0.7305  1 Ir 1.98, 1 Pu 2.02
O  0.0630  0.3130  0.7500  2 Ir 1.93
O  0.3074  0.0768  0.6307  1 Ir 1.98, 1 Pu 2.02
O  0.3074  0.6767  0.2305  1 Ir 1.98, 1 Pu 2.02
O  0.3225  0.0725  0.2500  2 Pu 2.10
O  0.6775  0.9275  0.7500  2 Pu 2.10
O  0.6926  0.3233  0.7695  1 Ir 1.98, 1 Pu 2.02
O  0.6926  0.9232  0.3693  1 Ir 1.98, 1 Pu 2.02
O  0.9370  0.6870  0.2500  2 Ir 1.93
O  0.9461  0.0768  0.2695  1 Ir 1.98, 1 Pu 2.02
O  0.9461  0.6767  0.8693  1 Ir 1.98, 1 Pu 2.02

Output
Formation energy without anion corrections (meV per atom): -1519
Size of the total moment (μB/f.u.): 0.9
Energy (eV for the cell shown): -138.0
Theoretical density (g cm⁻³): 8.17